# 1
A plane-wave DFT calculation with PBE was carried out for Re2IrW after structural relaxation.

Cell: 2.7645 3.9310 5.5775 Å, 90.00 90.09 90.00°
Closest atoms and distances in Å follow each position.
Fractional coordinates of all 4 atoms:
Re 0.0000 0.0000 0.0000  6 Re 2.72-2.76, 2 Ir 2.73-2.85, 4 W 2.81
Re 0.4989 0.5000 0.2306  6 Re 2.72-2.76, 2 W 2.75-2.83, 4 Ir 2.80
Ir 0.9993 0.0000 0.4898  6 Re 2.73-2.85, 2 Ir 2.76, 4 W 2.77
W 0.4996 0.5000 0.7375  6 Re 2.75-2.83, 2 W 2.76, 4 Ir 2.77

Properties
E above lowest polymorph in meV per atom: 48
Symmetry: Pm, No. 6
E_form in kJ/mol of formula units: -19
Magnetic moment in μB per formula unit: 0.00

# 2
A plane-wave DFT calculation with PBE was carried out for LiCaHoAu after structural relaxation.

Cell: 5.1208 5.1208 5.1208 Å, 60.00 60.00 60.00°
Closest atoms and distances in Å follow each position.
Fractional coordinates of all 4 atoms:
Li 0.0000 0.0000 0.0000  4 Ca 3.14, 4 Ho 3.14
Ca 0.7500 0.7500 0.7500  4 Au 3.14, 4 Li 3.14
Ho 0.2500 0.2500 0.2500  4 Li 3.14, 4 Au 3.14
Au 0.5000 0.5000 0.5000  4 Ca 3.14, 4 Ho 3.14

Properties
Symmetry: F-43m, No. 216
E_form in kJ/mol of formula units: -154
Magnetic moment in μB per formula unit: 0.00

# 3
A plane-wave DFT calculation with PBE was carried out for CsSmDy4S8 after structural relaxation.

Cell: 8.4317 8.4317 8.4317 Å, 59.07 59.07 59.07°
Closest atoms and distances in Å follow each position.
Fractional coordinates of all 14 atoms:
Cs 0.0000 0.0000 0.0000  4 S 2.99-3.02
Sm 0.6356 0.6356 0.6356  6 S 2.72-2.97
Dy 0.1175 0.6338 0.6338  6 S 2.65-2.94
Dy 0.2555 0.2555 0.2555  4 S 2.68-2.73
Dy 0.6338 0.1175 0.6338  6 S 2.65-2.94
Dy 0.6338 0.6338 0.1175  6 S 2.65-2.94
S 0.3855 0.3855 0.8613  3 Dy 2.68-2.94, 1 Sm 2.97
S 0.3855 0.8613 0.3855  3 Dy 2.68-2.94, 1 Sm 2.97
S 0.3866 0.3866 0.3866  4 Dy 2.73-2.93
S 0.4426 0.8635 0.8635  2 Dy 2.65, 1 Sm 2.72
S 0.8564 0.8564 0.8564  3 Dy 2.65
S 0.8613 0.3855 0.3855  3 Dy 2.68-2.94, 1 Sm 2.97
S 0.8635 0.4426 0.8635  2 Dy 2.65, 1 Sm 2.72
S 0.8635 0.8635 0.4426  2 Dy 2.65, 1 Sm 2.72

Properties
E_form (uncorrected) in eV/atom: -1.861
Symmetry: R3m, No. 160
Magnetic moment in μB per formula unit: 0.00

# 4
A plane-wave DFT calculation with PBE was carried out for GaSnO2F after structural relaxation.

Cell: 4.0460 4.0460 4.3511 Å, 90.00 90.00 90.00°
Closest atoms and distances in Å follow each position.
Fractional coordinates of all 5 atoms:
Ga 0.0000 0.0000 0.0000  4 F 2.86, 8 O 2.97
Sn 0.5000 0.5000 0.5000  4 O 2.02, 2 F 2.18
O 0.0000 0.5000 0.5000  2 Sn 2.02
O 0.5000 0.0000 0.5000  2 Sn 2.02
F 0.5000 0.5000 0.0000  2 Sn 2.18

Properties
E_form (uncorrected) in eV/atom: -1.341
Symmetry: P4/mmm, No. 123
Magnetic moment in μB per formula unit: 0.00

# 5
A plane-wave DFT calculation with PBE was carried out for SnRh2I after structural relaxation.

Cell: 8.6668 8.6668 8.6668 Å, 148.03 148.03 45.84°
Closest atoms and distances in Å follow each position.
Fractional coordinates of all 8 atoms:
Sn 0.0000 0.0000 0.0000  4 Rh 2.65
Sn 0.7500 0.2500 0.5000  4 Rh 2.65
Rh 0.1415 0.6250 0.0165  2 I 2.58, 2 Sn 2.65
Rh 0.3750 0.3915 0.5165  2 I 2.58, 2 Sn 2.65
Rh 0.6085 0.1250 0.9835  2 I 2.58, 2 Sn 2.65
Rh 0.8750 0.8585 0.4835  2 I 2.58, 2 Sn 2.65
I 0.2500 0.7500 0.5000  4 Rh 2.58
I 0.5000 0.5000 0.0000  4 Rh 2.58

Properties
E above lowest polymorph in meV per atom: 0
E_form (uncorrected) in eV/atom: 0.233
Symmetry: I-42d, No. 122
Magnetic moment in μB per formula unit: 0.00

# 6
A plane-wave DFT calculation with PBE was carried out for Rb2PuBr8 after structural relaxation.

Cell: 9.4300 9.4300 6.0525 Å, 100.36 100.36 77.69°
Closest atoms and distances in Å follow each position.
Fractional coordinates of all 11 atoms:
Rb 0.2115 0.2115 0.1076  6 Br 3.42-3.58
Rb 0.7885 0.7885 0.8924  6 Br 3.42-3.58
Pu 0.5000 0.5000 0.0000  6 Br 2.70-2.75
Br 0.0016 0.0016 0.2678  1 Br 2.82
Br 0.2578 0.5863 0.2058  1 Pu 2.70
Br 0.3346 0.3346 0.6748  1 Pu 2.75
Br 0.4137 0.7422 0.7942  1 Pu 2.70
Br 0.5863 0.2578 0.2058  1 Pu 2.70
Br 0.6654 0.6654 0.3252  1 Pu 2.75
Br 0.7422 0.4137 0.7942  1 Pu 2.70
Br 0.9984 0.9984 0.7322  1 Br 2.82

Properties
E_form (uncorrected) in eV/atom: -1.181
Symmetry: C2/m, No. 12
Magnetic moment in μB per formula unit: 3.43

N(E_F) for the records above, in order: 3.55, 2.41, 0.00, 0.70, 4.80, 12.45 states/eV/cell